Tm5AlPb2 (PBE, optimized geometry); final energy = -4.387 eV/atom
1.0
3.702 0.000 0.000
-1.851 5.779 0.000
0.000 0.000 20.605
Tm Al Pb
10 2 4
direct
0.076 0.152 0.112 Tm
0.076 0.152 0.388 Tm
0.533 0.067 0.750 Tm
0.467 0.933 0.250 Tm
0.924 0.848 0.612 Tm
0.924 0.848 0.888 Tm
0.634 0.268 0.973 Tm
0.366 0.732 0.473 Tm
0.366 0.732 0.027 Tm
0.634 0.268 0.527 Tm
0.817 0.633 0.750 Al
0.183 0.367 0.250 Al
0.800 0.600 0.344 Pb
0.200 0.400 0.656 Pb
0.200 0.400 0.844 Pb
0.800 0.600 0.156 Pb